[1]
# Ac2Al4TlPd3 GGA-PBE relaxed
# - Density of states at the Fermi level: 6.771 states/eV/f.u.
# - Spin magnetization: 0.00 μB per formula unit
# - Energy relative to the elements: -0.6653 eV/atom
data_Ac2Al4TlPd3
_chemical_formula_sum 'Ac2 Al4 Tl1 Pd3'
_symmetry_space_group_name_H-M 'P -4 m 2'
_symmetry_Int_Tables_number 115
_symmetry_space_group_name_Hall 'P -4 -2'
_cell_length_a 4.522
_cell_length_b 4.522
_cell_length_c 10.754
_cell_angle_alpha 90.00
_cell_angle_beta 90.00
_cell_angle_gamma 90.00
loop_
_atom_site_label
_atom_site_fract_x
_atom_site_fract_y
_atom_site_fract_z
Ac1 0.000 0.500 0.243
Al1 0.000 0.000 0.000
Al2 0.000 0.500 0.645
Al3 0.500 0.500 0.000
Tl1 0.000 0.000 0.500
Pd1 0.000 0.500 0.881
Pd2 0.500 0.500 0.500

[2]
# TiCrCd2 GGA-PBE relaxed
# - Density of states at the Fermi level: 4.666 states/eV/f.u.
# - Polymorph energy (0 for the lowest one): 0 meV/atom
# - Spin magnetization: 3.09 μB per formula unit
# - Energy relative to the elements: 0.2819 eV/atom
data_TiCrCd2
_chemical_formula_sum 'Ti4 Cr4 Cd8'
_symmetry_space_group_name_H-M 'F m -3 m'
_symmetry_Int_Tables_number 225
_symmetry_space_group_name_Hall '-F 4 2 3'
_cell_length_a 6.665
_cell_length_b 6.665
_cell_length_c 6.665
_cell_angle_alpha 90.00
_cell_angle_beta 90.00
_cell_angle_gamma 90.00
loop_
_atom_site_label
_atom_site_fract_x
_atom_site_fract_y
_atom_site_fract_z
Ti1 0.000 0.000 0.000
Cr1 0.000 0.000 0.500
Cd1 0.250 0.250 0.250

[3]
# TlHg2Ru GGA-PBE relaxed
# - Density of states at the Fermi level: 2.864 states/eV/f.u.
# - Polymorph energy (0 for the lowest one): 188 meV/atom
# - Spin magnetization: 0.43 μB per formula unit
# - Energy relative to the elements: 0.5280 eV/atom
data_TlHg2Ru
_chemical_formula_sum 'Tl2 Hg4 Ru2'
_symmetry_space_group_name_H-M 'I -4 m 2'
_symmetry_Int_Tables_number 119
_symmetry_space_group_name_Hall 'I -4 -2'
_cell_length_a 4.191
_cell_length_b 4.191
_cell_length_c 9.325
_cell_angle_alpha 90.00
_cell_angle_beta 90.00
_cell_angle_gamma 90.00
loop_
_atom_site_label
_atom_site_fract_x
_atom_site_fract_y
_atom_site_fract_z
Tl1 0.000 0.000 0.000
Hg1 0.000 0.000 0.500
Hg2 0.000 0.500 0.750
Ru1 0.000 0.500 0.250

[4]
# Bi2SCl2 GGA-PBE relaxed
# - Density of states at the Fermi level: 2.838 states/eV/f.u.
# - Polymorph energy (0 for the lowest one): 493 meV/atom
# - Spin magnetization: 0.00 μB per formula unit
data_Bi2SCl2
_chemical_formula_sum 'Bi4 S2 Cl4'
_symmetry_space_group_name_H-M 'P 4/m b m'
_symmetry_Int_Tables_number 127
_symmetry_space_group_name_Hall '-P 4 2ab'
_cell_length_a 9.011
_cell_length_b 9.011
_cell_length_c 3.177
_cell_angle_alpha 90.00
_cell_angle_beta 90.00
_cell_angle_gamma 90.00
loop_
_atom_site_label
_atom_site_fract_x
_atom_site_fract_y
_atom_site_fract_z
Bi1 0.196 0.304 0.000
S1 0.000 0.000 0.500
Cl1 0.118 0.618 0.500

[5]
# AcSi2Pd2Pt GGA-PBE relaxed
# - Density of states at the Fermi level: 4.162 states/eV/f.u.
# - Spin magnetization: 0.00 μB per formula unit
data_AcSi2Pd2Pt
_chemical_formula_sum 'Ac1 Si2 Pd2 Pt1'
_symmetry_space_group_name_H-M 'P 4/m m m'
_symmetry_Int_Tables_number 123
_symmetry_space_group_name_Hall '-P 4 2'
_cell_length_a 4.641
_cell_length_b 4.641
_cell_length_c 5.873
_cell_angle_alpha 90.00
_cell_angle_beta 90.00
_cell_angle_gamma 90.00
loop_
_atom_site_label
_atom_site_fract_x
_atom_site_fract_y
_atom_site_fract_z
Ac1 0.000 0.000 0.000
Si1 0.000 0.500 0.500
Pd1 0.500 0.500 0.255
Pt1 0.000 0.000 0.500

[6]
# CrBi3As GGA-PBE relaxed
# - Density of states at the Fermi level: 4.057 states/eV/f.u.
# - Polymorph energy (0 for the lowest one): 315 meV/atom
# - Spin magnetization: 4.25 μB per formula unit
# - Energy relative to the elements: 0.9053 eV/atom
data_CrBi3As
_chemical_formula_sum 'Cr1 Bi3 As1'
_symmetry_space_group_name_H-M 'P m -3 m'
_symmetry_Int_Tables_number 221
_symmetry_space_group_name_Hall '-P 4 2 3'
_cell_length_a 5.546
_cell_length_b 5.546
_cell_length_c 5.546
_cell_angle_alpha 90.00
_cell_angle_beta 90.00
_cell_angle_gamma 90.00
loop_
_atom_site_label
_atom_site_fract_x
_atom_site_fract_y
_atom_site_fract_z
Cr1 0.000 0.000 0.000
Bi1 0.000 0.500 0.500
As1 0.500 0.500 0.500

[7]
# Ba4NaZnIn2 GGA-PBE relaxed
# - Density of states at the Fermi level: 7.229 states/eV/f.u.
# - Spin magnetization: 0.00 μB per formula unit
# - Energy relative to the elements: -0.2606 eV/atom
data_Ba4NaZnIn2
_chemical_formula_sum 'Ba12 Na3 Zn3 In6'
_symmetry_space_group_name_H-M 'R -3 m'
_symmetry_Int_Tables_number 166
_symmetry_space_group_name_Hall '-R 3 2"'
_cell_length_a 6.0619
_cell_length_b 6.0619
_cell_length_c 29.7576
_cell_angle_alpha 90.00
_cell_angle_beta 90.00
_cell_angle_gamma 120.00
loop_
_atom_site_label
_atom_site_fract_x
_atom_site_fract_y
_atom_site_fract_z
Ba1 0.0000 0.0000 0.1182
Ba2 0.0000 0.0000 0.3688
Na1 0.0000 0.0000 0.5000
Zn1 0.0000 0.0000 0.0000
In1 0.0000 0.0000 0.2456

[8]
# SrTiBrO2 GGA-PBE relaxed
# - Density of states at the Fermi level: 2.207 states/eV/f.u.
# - Spin magnetization: 0.82 μB per formula unit
data_SrTiBrO2
_chemical_formula_sum 'Sr1 Ti1 Br1 O2'
_symmetry_space_group_name_H-M 'P 4/m m m'
_symmetry_Int_Tables_number 123
_symmetry_space_group_name_Hall '-P 4 2'
_cell_length_a 4.088
_cell_length_b 4.088
_cell_length_c 5.104
_cell_angle_alpha 90.00
_cell_angle_beta 90.00
_cell_angle_gamma 90.00
loop_
_atom_site_label
_atom_site_fract_x
_atom_site_fract_y
_atom_site_fract_z
Sr1 0.000 0.000 0.000
Ti1 0.500 0.500 0.500
Br1 0.500 0.500 0.000
O1 0.000 0.500 0.500

Here are the calculated VASP energy numbers, same order: -4.78; -4.56; -2.53; -3.03; -5.73; -4.28; -2.23; -6.29 (eV per atom).